(1)
AlTl2Zn: single point on PBEsol structure, SCAN.

Cell lengths 8.9797, 3.4339, 5.9501 Å; angles 90.00, 102.77, 90.00 degrees
Space group C2/m (No. 12)
Inequivalent atoms, fractional coordinates:
1 Al 0.0000 0.0000 0.0000 x2
2 Tl 0.2467 0.0000 0.7437 x4
3 Zn 0.0000 0.5000 0.5000 x2

Summary:
D(E_F), states/eV/atom: 0.413
Volume, Å³ per atom: 22.37
Formation energy from the elements, eV/atom: 0.272



(2)
PIrAuS2: single point on PBEsol structure, SCAN.

Cell lengths 4.7122, 4.7122, 4.3885 Å; angles 90.00, 90.00, 90.00 degrees
Space group P4/mmm (No. 123)
Inequivalent atoms, fractional coordinates:
1 P 0.0000 0.0000 0.0000 x1
2 Ir 0.0000 0.0000 0.5000 x1
3 Au 0.5000 0.5000 0.0000 x1
4 S 0.0000 0.5000 0.5000 x2

Summary:
D(E_F), states/eV/atom: 1.132
Volume, Å³ per atom: 19.49
ΔE_f (raw), eV/atom: 0.8547



(3)
ZrF4: single point on PBEsol structure, SCAN.

Cell lengths 11.7868, 9.9450, 7.7027 Å; angles 90.00, 126.13, 90.00 degrees
Space group C2/c (No. 15)
Inequivalent atoms, fractional coordinates:
1 Zr 0.0000 0.2139 0.2500 x4
2 Zr 0.2049 0.4286 0.8323 x8
3 F 0.0000 0.3935 0.7500 x4
4 F 0.1091 0.2926 0.5749 x8
5 F 0.1174 0.0541 0.4559 x8
6 F 0.1183 0.3794 0.2822 x8
7 F 0.1231 0.1533 0.1498 x8
8 F 0.2124 0.4704 0.1063 x8
9 F 0.2500 0.2500 0.0000 x4

Summary:
D(E_F), states/eV/atom: 0.000
Volume, Å³ per atom: 12.15
ΔE_f (raw), eV/atom: -4.0003



(4)
LiY2Ta: single point on PBEsol structure, SCAN.

Cell lengths 5.4037, 3.0691, 6.1147 Å; angles 90.00, 114.50, 90.00 degrees
Space group P2/m (No. 10)
Inequivalent atoms, fractional coordinates:
1 Li 0.0000 0.0000 0.0000 x1
2 Y 0.5000 0.0000 0.5000 x1
3 Y 0.5000 0.5000 0.0000 x1
4 Ta 0.0000 0.5000 0.5000 x1

Summary:
D(E_F), states/eV/atom: 0.985
Volume, Å³ per atom: 23.07
Formation energy from the elements, eV/atom: 0.550



(5)
LiV3O3F7: single point on PBEsol structure, SCAN.

Cell lengths 7.2832, 7.4874, 7.8401 Å; angles 78.85, 63.49, 62.82 degrees
Space group P1 (No. 1)
Inequivalent atoms, fractional coordinates:
1 Li 0.0000 0.0000 0.0000 x1
2 Li 0.0161 0.5383 0.0992 x1
3 V 0.1884 0.4917 0.4417 x1
4 V 0.3701 0.9902 0.5027 x1
5 V 0.4382 0.5694 0.7141 x1
6 V 0.5809 0.9947 0.0140 x1
7 V 0.6258 0.4847 0.0118 x1
8 V 0.8293 0.0430 0.4784 x1
9 O 0.3336 0.5340 0.9452 x1
10 O 0.4392 0.4553 0.2673 x1
11 O 0.4439 0.0390 0.2597 x1
12 O 0.5870 0.0075 0.5195 x1
13 O 0.8588 0.4338 0.0214 x1
14 O 0.9088 0.1001 0.2567 x1
15 F 0.0106 0.7585 0.4097 x1
16 F 0.0477 0.4370 0.3280 x1
17 F 0.0767 0.0201 0.5256 x1
18 F 0.1789 0.2672 0.5994 x1
19 F 0.2055 0.5788 0.6517 x1
20 F 0.2666 0.8706 0.7661 x1
21 F 0.3461 0.1562 0.9541 x1
22 F 0.4948 0.7712 0.0468 x1
23 F 0.5252 0.7011 0.4631 x1
24 F 0.6399 0.3120 0.5937 x1
25 F 0.7024 0.5515 0.7395 x1
26 F 0.7034 0.2015 0.9627 x1
27 F 0.7669 0.9229 0.7538 x1
28 F 0.8625 0.8187 0.0471 x1

Summary:
Volume, Å³ per atom: 12.15
ΔE_f (raw), eV/atom: -2.9291



(6)
Zn3CF: single point on PBEsol structure, SCAN.

Cell lengths 4.1296, 4.1296, 4.1296 Å; angles 90.00, 90.00, 90.00 degrees
Space group Pm-3m (No. 221)
Inequivalent atoms, fractional coordinates:
1 Zn 0.0000 0.0000 0.5000 x3
2 C 0.5000 0.5000 0.5000 x1
3 F 0.0000 0.0000 0.0000 x1

Summary:
D(E_F), states/eV/atom: 0.279
Volume, Å³ per atom: 14.08
ΔE_f (raw), eV/atom: 0.9915



(7)
KSiAu3: single point on PBEsol structure, SCAN.

Cell lengths 4.8381, 4.8381, 4.8381 Å; angles 90.00, 90.00, 90.00 degrees
Space group Pm-3m (No. 221)
Inequivalent atoms, fractional coordinates:
1 K 0.0000 0.0000 0.0000 x1
2 Si 0.5000 0.5000 0.5000 x1
3 Au 0.0000 0.5000 0.5000 x3

Summary:
D(E_F), states/eV/atom: 0.130
Volume, Å³ per atom: 22.65
ΔE_f (raw), eV/atom: -0.3086



(8)
V3HPt: single point on PBEsol structure, SCAN.

Cell lengths 3.8122, 3.8122, 3.8122 Å; angles 90.00, 90.00, 90.00 degrees
Space group Pm-3m (No. 221)
Inequivalent atoms, fractional coordinates:
1 V 0.0000 0.0000 0.5000 x3
2 H 0.0000 0.0000 0.0000 x1
3 Pt 0.5000 0.5000 0.5000 x1

Summary:
D(E_F), states/eV/atom: 1.340
E, eV/atom: -25.67
Volume, Å³ per atom: 11.08



Among the records above, which one has the highest volume? LiY2Ta